# Sr2Mg2Bi2S

A relaxed structure of Sr2Mg2Bi2S (PBE, Alexandria).

a = 9.303 Å, b = 9.303 Å, c = 9.303 Å
α = 149.27°, β = 149.27°, γ = 44.02°
Sites, in units of the cell vectors:
Sr: 0.170 0.170 0.000
Sr: 0.830 0.830 0.000
Mg: 0.000 0.500 0.500
Mg: 0.500 0.000 0.500
Bi: 0.374 0.374 0.000
Bi: 0.626 0.626 0.000
S: 0.000 0.000 0.000

- Total moment: 0.0 μB/cell
- Formation energy (no corrections): -0.93 eV per atom
- Space group: I4/mmm (139)
- Crystal system: tetragonal

# Mg2ZrBiS

A relaxed structure of Mg2ZrBiS (PBE, Alexandria).

a = 4.861 Å, b = 4.861 Å, c = 4.977 Å
α = 90.00°, β = 90.00°, γ = 90.00°
Sites, in units of the cell vectors:
Mg: 0.000 0.500 0.000
Mg: 0.500 0.000 0.000
Zr: 0.000 0.000 0.500
Bi: 0.500 0.500 0.500
S: 0.000 0.000 0.000

- Total moment: 0.0 μB/cell
- Formation energy (no corrections): -0.27 eV per atom
- Space group: P4/mmm (123)
- Crystal system: tetragonal

Copy entry 2 word for word.
# Mg2ZrBiS

A relaxed structure of Mg2ZrBiS (PBE, Alexandria).

a = 4.861 Å, b = 4.861 Å, c = 4.977 Å
α = 90.00°, β = 90.00°, γ = 90.00°
Sites, in units of the cell vectors:
Mg: 0.000 0.500 0.000
Mg: 0.500 0.000 0.000
Zr: 0.000 0.000 0.500
Bi: 0.500 0.500 0.500
S: 0.000 0.000 0.000

- Total moment: 0.0 μB/cell
- Formation energy (no corrections): -0.27 eV per atom
- Space group: P4/mmm (123)
- Crystal system: tetragonal

Question: Which value of total moment does entry 1 give?
Answer: 0.0 μB/cell